Entry 1:
## Ba2InPtAu6 (PBE)

Data for a relaxed Ba2InPtAu6 crystal.

The structure belongs to space group C2/m (No. 12); the cell edges are 13.672, 5.615 and 9.511 Å and the angles 90.00°, 133.87° and 90.00°. The distinct sites, in fractional coordinates, are Ba at (0.229, 0.000, 0.184), In at (0.000, 0.000, 0.500), Pt at (0.000, 0.500, 0.000), Au at (0.012, 0.254, 0.264) and Au at (0.247, 0.500, 0.387).

=====

Entry 2:
## Ba2In4PtAu3 (PBE)

Data for a relaxed Ba2In4PtAu3 crystal.

The structure belongs to space group P-4m2 (No. 115); the cell edges are 4.949, 4.949 and 10.946 Å and the angles 90.00°, 90.00° and 90.00°. The distinct sites, in fractional coordinates, are Ba at (0.000, 0.500, 0.238), In at (0.000, 0.000, 0.500), In at (0.000, 0.500, 0.887), In at (0.500, 0.500, 0.500), Pt at (0.500, 0.500, 0.000), Au at (0.000, 0.000, 0.000) and Au at (0.000, 0.500, 0.633).

=====

Entry 3:
## Ba8InPtAu2 (PBE)

Data for a relaxed Ba8InPtAu2 crystal.

The structure belongs to space group P2/m (No. 10); the cell edges are 7.695, 9.970 and 7.935 Å and the angles 90.00°, 90.81° and 90.00°. The distinct sites, in fractional coordinates, are Ba at (0.224, 0.000, 0.341), Ba at (0.237, 0.500, 0.318), Ba at (0.274, 0.274, 0.827), In at (0.500, 0.000, 0.000), Pt at (0.500, 0.500, 0.000) and Au at (0.000, 0.255, 0.500).

=====

Entry 4:
## Ba2In3PtAu12 (PBE)

Data for a relaxed Ba2In3PtAu12 crystal.

The structure belongs to space group R-3m (No. 166, hexagonal axes); the cell edges are 9.0356, 9.0356 and 21.8808 Å and the angles 90.00°, 90.00° and 120.00°. The distinct sites, in fractional coordinates, are Ba at (0.0000, 0.0000, 0.1114), In at (0.0000, 0.5000, 0.0000), Pt at (0.0000, 0.0000, 0.5000), Au at (0.0126, 0.5063, 0.1324) and Au at (0.0987, 0.5493, 0.4029).

=====

Entry 5:
## Ba2In4Pt3Au (PBE)

Data for a relaxed Ba2In4Pt3Au crystal.

The structure belongs to space group P-4m2 (No. 115); the cell edges are 4.930, 4.930 and 10.579 Å and the angles 90.00°, 90.00° and 90.00°. The distinct sites, in fractional coordinates, are Ba at (0.000, 0.500, 0.239), In at (0.000, 0.000, 0.500), In at (0.000, 0.500, 0.877), In at (0.500, 0.500, 0.500), Pt at (0.000, 0.000, 0.000), Pt at (0.000, 0.500, 0.621) and Au at (0.500, 0.500, 0.000).

=====

Entry 6:
## Ba2In3Pt4Au (PBE)

Data for a relaxed Ba2In3Pt4Au crystal.

The structure belongs to space group P-4m2 (No. 115); the cell edges are 4.801, 4.801 and 10.740 Å and the angles 90.00°, 90.00° and 90.00°. The distinct sites, in fractional coordinates, are Ba at (0.000, 0.500, 0.249), In at (0.000, 0.500, 0.881), In at (0.500, 0.500, 0.500), Pt at (0.000, 0.000, 0.000), Pt at (0.000, 0.500, 0.632), Pt at (0.500, 0.500, 0.000) and Au at (0.000, 0.000, 0.500).

=====

Entry 7:
## BaInPtAu (PBE)

Data for a relaxed BaInPtAu crystal.

The structure belongs to space group Cm (No. 8); the cell edges are 8.241, 4.760 and 6.227 Å and the angles 90.00°, 116.30° and 90.00°. The distinct sites, in fractional coordinates, are Ba at (0.000, 0.000, 0.000), In at (0.015, 0.500, 0.546), Pt at (0.198, 0.000, 0.594) and Au at (0.297, 0.500, 0.393).

=====

Entry 8:
## Ba2PuInAu6 (PBE)

Data for a relaxed Ba2PuInAu6 crystal.

The structure belongs to space group Fm-3m (No. 225); the cell edges are 10.966, 10.966 and 10.966 Å and the angles 90.00°, 90.00° and 90.00°. The distinct sites, in fractional coordinates, are Ba at (0.250, 0.250, 0.250), Pu at (0.000, 0.000, 0.000), In at (0.000, 0.000, 0.500) and Au at (0.000, 0.000, 0.255).

=====

no.,DFT formation energy (meV/atom)
1,-467
2,-565
3,-452
4,-127
5,-645
6,-610
7,-623
8,-223